Density functional theory data (SCAN) for Ba3Ta2Ti6O21 at its PBEsol-relaxed geometry.

Computed properties:
formation energy (no corrections)	-101.819	eV per formula unit
DOS(E_F)	0.3191	states/eV/atom
crystal system	hexagonal
total DFT energy (no corrections)	-18.15	eV per atom
calculated density	5.68	Mg/m³

CIF file:
```
data_Ba3Ta2Ti6O21
_chemical_formula_sum 'Ba6 Ta4 Ti12 O42'
_cell_length_a 8.9422
_cell_length_b 8.9422
_cell_length_c 11.8056
_cell_angle_alpha 90.00
_cell_angle_beta 90.00
_cell_angle_gamma 120.00
_symmetry_space_group_name_H-M 'P 63/m c m'
_symmetry_Int_Tables_number 193
_symmetry_space_group_name_Hall '-P 6c 2'
loop_
_atom_site_label
_atom_site_type_symbol
_atom_site_fract_x
_atom_site_fract_y
_atom_site_fract_z
Ba1 Ba 0.0000 0.4038 0.2500
Ta1 Ta 0.3333 0.6667 0.0000
Ti1 Ti 0.0000 0.2371 0.5959
O1 O 0.0000 0.2021 0.7500
O2 O 0.0000 0.2028 0.0736
O3 O 0.1672 0.4803 0.6008
```

Density functional theory data (SCAN) for RbBe3Cu at its PBEsol-relaxed geometry.

Computed properties:
DOS(E_F)	0.4343	states/eV/atom
crystal system	cubic
total DFT energy (no corrections)	-7.02	eV per atom
calculated density	1.81	Mg/m³

CIF file:
```
data_RbBe3Cu
_chemical_formula_sum 'Rb1 Be3 Cu1'
_cell_length_a 5.441
_cell_length_b 5.441
_cell_length_c 5.441
_cell_angle_alpha 90.00
_cell_angle_beta 90.00
_cell_angle_gamma 90.00
_symmetry_space_group_name_H-M 'P m -3 m'
_symmetry_Int_Tables_number 221
_symmetry_space_group_name_Hall '-P 4 2 3'
loop_
_atom_site_label
_atom_site_type_symbol
_atom_site_fract_x
_atom_site_fract_y
_atom_site_fract_z
Rb1 Rb 0.000 0.000 0.000
Be1 Be 0.000 0.000 0.500
Cu1 Cu 0.500 0.500 0.500
```

Density functional theory data (SCAN) for LaTc2P at its PBEsol-relaxed geometry.

Computed properties:
DOS(E_F)	0.6450	states/eV/atom
crystal system	monoclinic
total DFT energy (no corrections)	-31.25	eV per atom
calculated density	7.82	Mg/m³

CIF file:
```
data_LaTc2P
_chemical_formula_sum 'La1 Tc2 P1'
_cell_length_a 3.551
_cell_length_b 3.927
_cell_length_c 5.585
_cell_angle_alpha 90.00
_cell_angle_beta 94.10
_cell_angle_gamma 90.00
_symmetry_space_group_name_H-M 'P 1 m 1'
_symmetry_Int_Tables_number 6
_symmetry_space_group_name_Hall 'P -2y'
loop_
_atom_site_label
_atom_site_type_symbol
_atom_site_fract_x
_atom_site_fract_y
_atom_site_fract_z
La1 La 0.000 0.000 0.000
Tc1 Tc 0.060 0.500 0.534
Tc2 Tc 0.464 0.000 0.519
P1 P 0.532 0.500 0.255
```

Density functional theory data (SCAN) for Mg2P2H12O13 at its PBEsol-relaxed geometry.

Computed properties:
DOS(E_F)	0.0000	states/eV/atom
crystal system	monoclinic
total DFT energy (no corrections)	-7.02	eV per atom
calculated density	2.22	Mg/m³

CIF file:
```
data_Mg2P2H12O13
_chemical_formula_sum 'Mg8 P8 H48 O52'
_cell_length_a 7.211
_cell_length_b 18.130
_cell_length_c 10.185
_cell_angle_alpha 90.00
_cell_angle_beta 132.05
_cell_angle_gamma 90.00
_symmetry_space_group_name_H-M 'P 1 21/c 1'
_symmetry_Int_Tables_number 14
_symmetry_space_group_name_Hall '-P 2ybc'
loop_
_atom_site_label
_atom_site_type_symbol
_atom_site_fract_x
_atom_site_fract_y
_atom_site_fract_z
Mg1 Mg 0.000 0.000 0.000
Mg2 Mg 0.000 0.000 0.500
Mg3 Mg 0.324 0.241 0.030
P1 P 0.156 0.104 0.322
P2 P 0.500 0.097 0.702
H1 H 0.026 0.618 0.847
H2 H 0.060 0.212 0.112
H3 H 0.077 0.671 0.569
H4 H 0.194 0.731 0.345
H5 H 0.208 0.512 0.371
H6 H 0.263 0.106 0.907
H7 H 0.292 0.580 0.968
H8 H 0.308 0.163 0.804
H9 H 0.324 0.646 0.170
H10 H 0.377 0.732 0.037
H11 H 0.390 0.130 0.222
H12 H 0.424 0.002 0.088
O1 O 0.014 0.218 0.996
O2 O 0.036 0.563 0.187
O3 O 0.121 0.188 0.309
O4 O 0.147 0.588 0.957
O5 O 0.187 0.075 0.198
O6 O 0.218 0.156 0.848
O7 O 0.218 0.589 0.660
O8 O 0.264 0.022 0.972
O9 O 0.357 0.744 0.934
O10 O 0.363 0.035 0.711
O11 O 0.406 0.173 0.697
O12 O 0.432 0.087 0.515
O13 O 0.491 0.669 0.258
```

Density functional theory data (SCAN) for K2YTaBe at its PBEsol-relaxed geometry.

Computed properties:
DOS(E_F)	1.0972	states/eV/atom
crystal system	tetragonal
total DFT energy (no corrections)	-21.53	eV per atom
calculated density	3.91	Mg/m³

CIF file:
```
data_K2YTaBe
_chemical_formula_sum 'K2 Y1 Ta1 Be1'
_cell_length_a 5.576
_cell_length_b 5.576
_cell_length_c 4.872
_cell_angle_alpha 90.00
_cell_angle_beta 90.00
_cell_angle_gamma 90.00
_symmetry_space_group_name_H-M 'P 4/m m m'
_symmetry_Int_Tables_number 123
_symmetry_space_group_name_Hall '-P 4 2'
loop_
_atom_site_label
_atom_site_type_symbol
_atom_site_fract_x
_atom_site_fract_y
_atom_site_fract_z
K1 K 0.000 0.500 0.000
Y1 Y 0.000 0.000 0.500
Ta1 Ta 0.500 0.500 0.500
Be1 Be 0.500 0.500 0.000
```

Density functional theory data (SCAN) for RbSiBiS4 at its PBEsol-relaxed geometry.

Computed properties:
formation energy (no corrections)	-6.167	eV per formula unit
DOS(E_F)	0.0000	states/eV/atom
crystal system	monoclinic
total DFT energy (no corrections)	-22.00	eV per atom
calculated density	4.12	Mg/m³

CIF file:
```
data_RbSiBiS4
_chemical_formula_sum 'Rb4 Si4 Bi4 S16'
_cell_length_a 6.455
_cell_length_b 6.666
_cell_length_c 17.767
_cell_angle_alpha 90.00
_cell_angle_beta 107.85
_cell_angle_gamma 90.00
_symmetry_space_group_name_H-M 'P 1 21/c 1'
_symmetry_Int_Tables_number 14
_symmetry_space_group_name_Hall '-P 2ybc'
loop_
_atom_site_label
_atom_site_type_symbol
_atom_site_fract_x
_atom_site_fract_y
_atom_site_fract_z
Rb1 Rb 0.224 0.247 0.466
Si1 Si 0.291 0.734 0.339
Bi1 Bi 0.263 0.213 0.724
S1 S 0.091 0.743 0.413
S2 S 0.092 0.686 0.219
S3 S 0.477 0.502 0.638
S4 S 0.487 0.502 0.853
```

What is the formula in the fifth record? K2YTaBe

Copy entry 6 word for word.
Density functional theory data (SCAN) for RbSiBiS4 at its PBEsol-relaxed geometry.

Computed properties:
formation energy (no corrections)	-6.167	eV per formula unit
DOS(E_F)	0.0000	states/eV/atom
crystal system	monoclinic
total DFT energy (no corrections)	-22.00	eV per atom
calculated density	4.12	Mg/m³

CIF file:
```
data_RbSiBiS4
_chemical_formula_sum 'Rb4 Si4 Bi4 S16'
_cell_length_a 6.455
_cell_length_b 6.666
_cell_length_c 17.767
_cell_angle_alpha 90.00
_cell_angle_beta 107.85
_cell_angle_gamma 90.00
_symmetry_space_group_name_H-M 'P 1 21/c 1'
_symmetry_Int_Tables_number 14
_symmetry_space_group_name_Hall '-P 2ybc'
loop_
_atom_site_label
_atom_site_type_symbol
_atom_site_fract_x
_atom_site_fract_y
_atom_site_fract_z
Rb1 Rb 0.224 0.247 0.466
Si1 Si 0.291 0.734 0.339
Bi1 Bi 0.263 0.213 0.724
S1 S 0.091 0.743 0.413
S2 S 0.092 0.686 0.219
S3 S 0.477 0.502 0.638
S4 S 0.487 0.502 0.853
```

Which value of DOS(E_F) does entry 5 give? 1.0972 states/eV/atom